A | The following is a DFT calculation (GGA-PBE) of a geometry-optimized Li12Mg7Pd structure.

Properties
Total magnetization, Bohr magnetons per cell: 0.00
Mass density, g cm⁻³: 1.12
DOS(E_F), states/eV/atom: 0.6355

Cell lengths 10.211, 10.211, 10.211 Å; angles 90.00, 90.00, 90.00 degrees
Space group Im-3 (No. 204)
Inequivalent atoms, fractional coordinates:
Li 0.000 0.353 0.247 [24 per cell]
Mg 0.000 0.000 0.500 [6 per cell]
Mg 0.250 0.250 0.250 [8 per cell]
Pd 0.000 0.000 0.000 [2 per cell]

***

B | The following is a DFT calculation (GGA-PBE) of a geometry-optimized Li12Mg7Pd structure.

Properties
Total magnetization, Bohr magnetons per cell: 0.00
Mass density, g cm⁻³: 1.50
DOS(E_F), states/eV/atom: 0.4043

Cell lengths 10.8213, 10.8213, 11.7626 Å; angles 90.00, 90.00, 120.00 degrees
Space group R-3 (No. 148, hexagonal axes)
Inequivalent atoms, fractional coordinates:
Li 0.0476 0.5888 0.2059 [18 per cell]
Li 0.0559 0.4609 0.5871 [18 per cell]
Mg 0.0000 0.0000 0.0000 [3 per cell]
Mg 0.0481 0.8671 0.3046 [18 per cell]
Pd 0.0000 0.0000 0.5000 [3 per cell]

***

If we sort the structures by their calculated energies, the order from most to least stable is B, A.

***

A | The following is a DFT calculation (GGA-PBE) of a geometry-optimized Li3Mg3Pd structure.

Properties
Total magnetization, Bohr magnetons per cell: 0.00
Mass density, g cm⁻³: 2.34
DOS(E_F), states/eV/atom: 0.5817

Cell lengths 5.8798, 5.8798, 28.4530 Å; angles 90.00, 90.00, 120.00 degrees
Space group R-3 (No. 148, hexagonal axes)
Inequivalent atoms, fractional coordinates:
Li 0.0127 0.7176 0.2081 [18 per cell]
Mg 0.0058 0.4542 0.2900 [18 per cell]
Pd 0.0000 0.0000 0.2926 [6 per cell]

***

B | The following is a DFT calculation (GGA-PBE) of a geometry-optimized Li3Mg3Pd structure.

Properties
Total magnetization, Bohr magnetons per cell: 0.00
Mass density, g cm⁻³: 2.54
DOS(E_F), states/eV/atom: 0.4168

Cell lengths 7.9960, 7.9960, 4.7304 Å; angles 90.00, 90.00, 120.00 degrees
Space group P6_3/mmc (No. 194)
Inequivalent atoms, fractional coordinates:
Li 0.1078 0.5539 0.2500 [6 per cell]
Mg 0.1402 0.2804 0.7500 [6 per cell]
Pd 0.3333 0.6667 0.7500 [2 per cell]

***

If we sort the structures by their calculated energies, the order from most to least stable is B, A.